Entry from Alexandria: a relaxed structure of TbAlZnRh (PBE-GGA).

Unit cell a=4.6536 b=4.6536 c=4.6536 alpha=60.00 beta=60.00 gamma=60.00
Atoms (fractional coordinates):
Rh  0.2500  0.2500  0.2500
Zn  0.7500  0.7500  0.7500
Tb  0.5000  0.5000  0.5000
Al  0.0000  0.0000  0.0000

**Formation enthalpy at 0 K**: -2.14 eV per formula unit
**N(E_F)**: 2.868 states/eV/cell
**Spin magnetization**: 0.00 μB per cell